[1]
# VZnO2F | Alexandria via LeMat-Bulk | PBE+U | optimized geometry
data_VZnO2F
_cell_length_a 3.643
_cell_length_b 3.643
_cell_length_c 5.583
_cell_angle_alpha 90.00
_cell_angle_beta 90.00
_cell_angle_gamma 90.00
_space_group_name_H-M_alt 'P 4/m m m'
_space_group_IT_number 123
_space_group_name_Hall '-P 4 2'
loop_
_atom_site_label
_atom_site_type_symbol
_atom_site_fract_x
_atom_site_fract_y
_atom_site_fract_z
V1 V 0.000 0.000 0.000
Zn1 Zn 0.000 0.000 0.500
O1 O 0.000 0.500 0.500
F1 F 0.500 0.500 0.000
# Calculated total energy, eV per cell: -20.9

***

[2]
# VZnOF2 | Alexandria via LeMat-Bulk | PBE+U | optimized geometry
data_VZnOF2
_cell_length_a 3.923
_cell_length_b 3.923
_cell_length_c 4.062
_cell_angle_alpha 90.00
_cell_angle_beta 90.00
_cell_angle_gamma 90.00
_space_group_name_H-M_alt 'P 4/m m m'
_space_group_IT_number 123
_space_group_name_Hall '-P 4 2'
loop_
_atom_site_label
_atom_site_type_symbol
_atom_site_fract_x
_atom_site_fract_y
_atom_site_fract_z
V1 V 0.000 0.000 0.000
Zn1 Zn 0.500 0.500 0.500
O1 O 0.500 0.500 0.000
F1 F 0.000 0.500 0.500
# Energy above the lowest structure with this stoichiometry, eV per atom: 0.429

***

[3]
# VZnO2F | Alexandria via LeMat-Bulk | PBE+U | optimized geometry
data_VZnO2F
_cell_length_a 3.872
_cell_length_b 3.872
_cell_length_c 3.898
_cell_angle_alpha 90.00
_cell_angle_beta 90.00
_cell_angle_gamma 90.00
_space_group_name_H-M_alt 'P 4/m m m'
_space_group_IT_number 123
_space_group_name_Hall '-P 4 2'
loop_
_atom_site_label
_atom_site_type_symbol
_atom_site_fract_x
_atom_site_fract_y
_atom_site_fract_z
V1 V 0.000 0.000 0.000
Zn1 Zn 0.500 0.500 0.500
O1 O 0.000 0.500 0.500
F1 F 0.500 0.500 0.000
# Calculated total energy, eV per cell: -24.9

***

[4]
# VZnO2F | Alexandria via LeMat-Bulk | PBE+U | optimized geometry
data_VZnO2F
_cell_length_a 3.864
_cell_length_b 3.864
_cell_length_c 3.962
_cell_angle_alpha 90.00
_cell_angle_beta 90.00
_cell_angle_gamma 90.00
_space_group_name_H-M_alt 'P 4/m m m'
_space_group_IT_number 123
_space_group_name_Hall '-P 4 2'
loop_
_atom_site_label
_atom_site_type_symbol
_atom_site_fract_x
_atom_site_fract_y
_atom_site_fract_z
V1 V 0.000 0.000 0.000
Zn1 Zn 0.500 0.500 0.500
O1 O 0.000 0.500 0.000
F1 F 0.000 0.000 0.500
# Calculated total energy, eV per cell: -27.9

***

[5]
# WO2F2 | Alexandria via LeMat-Bulk | PBE+U | optimized geometry
data_WO2F2
_cell_length_a 3.648
_cell_length_b 3.648
_cell_length_c 4.094
_cell_angle_alpha 90.00
_cell_angle_beta 90.00
_cell_angle_gamma 90.00
_space_group_name_H-M_alt 'P 4/m m m'
_space_group_IT_number 123
_space_group_name_Hall '-P 4 2'
loop_
_atom_site_label
_atom_site_type_symbol
_atom_site_fract_x
_atom_site_fract_y
_atom_site_fract_z
W1 W 0.000 0.000 0.000
O1 O 0.000 0.500 0.500
F1 F 0.500 0.500 0.000
F2 F 0.500 0.500 0.500
# Energy above the lowest structure with this stoichiometry, eV per atom: 2.744

***

[6]
# WOF2 | Alexandria via LeMat-Bulk | PBE+U | optimized geometry
data_WOF2
_cell_length_a 5.391
_cell_length_b 5.391
_cell_length_c 5.391
_cell_angle_alpha 90.00
_cell_angle_beta 90.00
_cell_angle_gamma 90.00
_space_group_name_H-M_alt 'F m -3 m'
_space_group_IT_number 225
_space_group_name_Hall '-F 4 2 3'
loop_
_atom_site_label
_atom_site_type_symbol
_atom_site_fract_x
_atom_site_fract_y
_atom_site_fract_z
W1 W 0.000 0.000 0.000
O1 O 0.000 0.000 0.500
F1 F 0.250 0.250 0.250
# Energy above the lowest structure with this stoichiometry, eV per atom: 0.000

***

[7]
# WOF3 | Alexandria via LeMat-Bulk | PBE+U | optimized geometry
data_WOF3
_cell_length_a 9.087
_cell_length_b 9.087
_cell_length_c 3.862
_cell_angle_alpha 90.00
_cell_angle_beta 90.00
_cell_angle_gamma 90.00
_space_group_name_H-M_alt 'P 42/m n m'
_space_group_IT_number 136
_space_group_name_Hall '-P 4n 2n'
loop_
_atom_site_label
_atom_site_type_symbol
_atom_site_fract_x
_atom_site_fract_y
_atom_site_fract_z
W1 W 0.135 0.135 0.000
O1 O 0.129 0.129 0.500
F1 F 0.096 0.904 0.000
F2 F 0.112 0.341 0.000
# Energy above the lowest structure with this stoichiometry, eV per atom: 0.141

***

[8]
# WOF3 | Alexandria via LeMat-Bulk | PBE+U | optimized geometry
data_WOF3
_cell_length_a 8.6810
_cell_length_b 8.6810
_cell_length_c 3.8598
_cell_angle_alpha 90.00
_cell_angle_beta 90.00
_cell_angle_gamma 120.00
_space_group_name_H-M_alt 'R 3 m'
_space_group_IT_number 160
_space_group_name_Hall 'R 3 -2"'
loop_
_atom_site_label
_atom_site_type_symbol
_atom_site_fract_x
_atom_site_fract_y
_atom_site_fract_z
W1 W 0.0000 0.0000 0.0000
O1 O 0.0000 0.0000 0.5009
F1 F 0.2068 0.4136 0.6717
# Energy above the lowest structure with this stoichiometry, eV per atom: 0.213

***

[9]
# WOF2 | Alexandria via LeMat-Bulk | PBE+U | optimized geometry
data_WOF2
_cell_length_a 2.9743
_cell_length_b 2.9743
_cell_length_c 27.3149
_cell_angle_alpha 90.00
_cell_angle_beta 90.00
_cell_angle_gamma 120.00
_space_group_name_H-M_alt 'R -3 m'
_space_group_IT_number 166
_space_group_name_Hall '-R 3 2"'
loop_
_atom_site_label
_atom_site_type_symbol
_atom_site_fract_x
_atom_site_fract_y
_atom_site_fract_z
W1 W 0.0000 0.0000 0.0000
O1 O 0.0000 0.0000 0.5000
F1 F 0.0000 0.0000 0.0683
# Energy above the lowest structure with this stoichiometry, eV per atom: 0.406

***

[10]
# WO2F2 | Alexandria via LeMat-Bulk | PBE+U | optimized geometry
data_WO2F2
_cell_length_a 6.680
_cell_length_b 3.880
_cell_length_c 7.720
_cell_angle_alpha 90.00
_cell_angle_beta 90.00
_cell_angle_gamma 90.00
_space_group_name_H-M_alt 'P m c 21'
_space_group_IT_number 26
loop_
_space_group_symop_operation_xyz
'x,y,z'
'-x,-y,z+1/2'
'-x,y,z'
'x,-y,z+1/2'
loop_
_atom_site_label
_atom_site_type_symbol
_atom_site_fract_x
_atom_site_fract_y
_atom_site_fract_z
W1 W 0.000 0.034 0.000
O1 O 0.000 0.002 0.762
O2 O 0.000 0.495 0.512
F1 F 0.282 0.009 0.518
# Energy above the lowest structure with this stoichiometry, eV per atom: 0.003

***

[11]
# WO2F2 | Alexandria via LeMat-Bulk | PBE+U | optimized geometry
data_WO2F2
_cell_length_a 2.835
_cell_length_b 2.835
_cell_length_c 15.091
_cell_angle_alpha 90.00
_cell_angle_beta 90.00
_cell_angle_gamma 90.00
_space_group_name_H-M_alt 'I 4/m m m'
_space_group_IT_number 139
_space_group_name_Hall '-I 4 2'
loop_
_atom_site_label
_atom_site_type_symbol
_atom_site_fract_x
_atom_site_fract_y
_atom_site_fract_z
W1 W 0.000 0.000 0.000
O1 O 0.000 0.500 0.250
F1 F 0.000 0.000 0.421
# Energy above the lowest structure with this stoichiometry, eV per atom: 2.531

***

[12]
# WOF3 | Alexandria via LeMat-Bulk | PBE+U | optimized geometry
data_WOF3
_cell_length_a 3.943
_cell_length_b 3.943
_cell_length_c 3.943
_cell_angle_alpha 90.00
_cell_angle_beta 90.00
_cell_angle_gamma 90.00
_space_group_name_H-M_alt 'P m -3 m'
_space_group_IT_number 221
_space_group_name_Hall '-P 4 2 3'
loop_
_atom_site_label
_atom_site_type_symbol
_atom_site_fract_x
_atom_site_fract_y
_atom_site_fract_z
W1 W 0.000 0.000 0.000
O1 O 0.500 0.500 0.500
F1 F 0.000 0.500 0.500
# Energy above the lowest structure with this stoichiometry, eV per atom: 3.037